Record 1
Ir2RhCl: relaxed, PBE.

Lattice parameters (Å, degrees): 2.830 2.830 7.666 90.00 90.00 90.00
Sites, in units of the cell vectors:
Ir: 0.000 0.000 0.019
Ir: 0.500 0.500 0.250
Rh: 0.000 0.000 0.489
Cl: 0.500 0.500 0.741

* E above lowest polymorph: 97 meV/atom
* space group: P4mm, No. 99
* volume: 61.4 Å³/cell
* formation energy without anion corrections: 0.467 eV/atom
* theoretical density: 14.14 g cm⁻³
* E: -6.263 eV per atom

=====

Record 2
CsAgCl: relaxed, PBE.

Lattice parameters (Å, degrees): 8.534 4.742 14.515 90.00 124.57 90.00
Sites, in units of the cell vectors:
Cl: 0.147 0.000 0.206
Cl: 0.478 0.500 0.589
Cl: 0.147 0.500 0.706
Cl: 0.478 0.000 0.089
Ag: 0.931 0.500 0.901
Ag: 0.104 0.500 0.505
Ag: 0.104 0.000 0.005
Ag: 0.931 0.000 0.401
Cs: 0.468 0.500 0.264
Cs: 0.819 0.000 0.640
Cs: 0.468 0.000 0.764
Cs: 0.819 0.500 0.140

* E above lowest polymorph: 73 meV/atom
* space group: Cm, No. 8
* volume: 483.7 Å³/cell
* formation energy without anion corrections: -0.887 eV/atom
* theoretical density: 3.79 g cm⁻³
* E: -2.738 eV per atom

=====

Record 3
CePrTcBr: relaxed, PBE.

Lattice parameters (Å, degrees): 3.747 4.147 8.259 88.69 103.24 116.63
Sites, in units of the cell vectors:
Ce: 0.130 0.019 0.056
Tc: 0.297 0.503 0.898
Br: 0.973 0.398 0.362
Pr: 0.478 0.110 0.654

* space group: P1, No. 1
* volume: 111.2 Å³/cell
* formation energy without anion corrections: -0.613 eV/atom
* theoretical density: 6.85 g cm⁻³
* E: -6.301 eV per atom

=====

Record 4
SrCe4Sb5: relaxed, PBE.

Lattice parameters (Å, degrees): 4.546 6.425 12.072 105.43 100.85 90.00
Last column: magnetic moment on the atom in μB.
Sites, in units of the cell vectors:
Sb: 0.000 0.500 0.000  -0.03
Sb: 0.607 0.107 0.215  -0.03
Sb: 0.393 0.893 0.785  -0.03
Sb: 0.801 0.301 0.603  -0.03
Sb: 0.199 0.699 0.397  -0.03
Ce: 0.599 0.599 0.198  0.72
Ce: 0.401 0.401 0.802  0.72
Ce: 0.798 0.798 0.596  0.70
Ce: 0.202 0.202 0.404  0.70
Sr: 0.000 0.000 0.000  -0.01

* space group: Immm, No. 71
* volume: 333.4 Å³/cell
* formation energy without anion corrections: -1.022 eV/atom
* theoretical density: 6.26 g cm⁻³
* E: -5.625 eV per atom